(1)
Entry from Alexandria: a geometry-optimized K4LiMo structure (GGA-PBE).

Computed properties:
Crystal system = cubic
Space group = F-43m, No. 216
Formation energy from the elements = 1.0149 eV per atom

Lattice parameters (Å, degrees): 7.5396 7.5396 7.5396 60.00 60.00 60.00
Last column: nearest neighbours and their distance in Å.
Sites, in units of the cell vectors:
K  0.3756  0.3756  0.3756  6 K 3.75-3.79
K  0.3756  0.3756  0.8731  6 K 3.75-3.79
K  0.3756  0.8731  0.3756  6 K 3.75-3.79
K  0.8731  0.3756  0.3756  6 K 3.75-3.79
Li  0.0000  0.0000  0.0000  12 K 4.42, 4 Mo 4.62
Mo  0.7500  0.7500  0.7500  12 K 4.42, 4 Li 4.62

---

(2)
Entry from Alexandria: a geometry-optimized SrHg2As structure (GGA-PBE).

Computed properties:
Crystal system = tetragonal
Space group = I-42d, No. 122
Formation energy from the elements = -0.3412 eV per atom

Lattice parameters (Å, degrees): 6.8216 6.8216 6.8216 101.83 101.83 126.15
Last column: nearest neighbours and their distance in Å.
Sites, in units of the cell vectors:
Sr  0.0000  0.0000  0.0000  2 As 3.09, 4 Hg 3.46
Sr  0.7500  0.2500  0.5000  2 As 3.09, 4 Hg 3.46
Hg  0.1768  0.6250  0.0518  2 As 2.85
Hg  0.3750  0.4268  0.5518  2 As 2.85
Hg  0.5732  0.1250  0.9482  2 As 2.85
Hg  0.8750  0.8232  0.4482  2 As 2.85
As  0.2500  0.7500  0.5000  4 Hg 2.85, 2 Sr 3.09
As  0.5000  0.5000  0.0000  4 Hg 2.85, 2 Sr 3.09

---

(3)
Entry from Alexandria: a geometry-optimized Ta2CrIr structure (GGA-PBE).

Computed properties:
Crystal system = tetragonal
Space group = P4/mmm, No. 123
Formation energy from the elements = -0.3136 eV per atom

Lattice parameters (Å, degrees): 3.1662 3.1662 6.2422 90.00 90.00 90.00
Last column: nearest neighbours and their distance in Å.
Sites, in units of the cell vectors:
Ta  0.0000  0.0000  0.2372  4 Cr 2.68, 4 Ir 2.78, 1 Ta 2.96
Ta  0.0000  0.0000  0.7628  4 Cr 2.68, 4 Ir 2.78, 1 Ta 2.96
Cr  0.5000  0.5000  0.0000  8 Ta 2.68
Ir  0.5000  0.5000  0.5000  8 Ta 2.78

---

(4)
Entry from Alexandria: a geometry-optimized SrFe2Br structure (GGA-PBE).

Computed properties:
ΔE_f (raw) = 0.9 eV per formula unit
Crystal system = monoclinic
Energy relative to the lowest polymorph listed for this composition = 181 meV per atom
Space group = C2/m, No. 12

Lattice parameters (Å, degrees): 6.1968 6.1968 5.0828 106.23 106.23 32.66
Last column: nearest neighbours and their distance in Å.
Sites, in units of the cell vectors:
Sr  0.0000  0.0000  0.0000  4 Br 3.08, 6 Fe 3.21-3.41
Fe  0.2819  0.2819  0.1572  2 Fe 2.34
Fe  0.7181  0.7181  0.8428  2 Fe 2.34
Br  0.5000  0.5000  0.5000  2 Fe 2.67

---

(5)
Entry from Alexandria: a geometry-optimized LaAs2HBr structure (GGA-PBE).

Computed properties:
Crystal system = tetragonal
Energy relative to the lowest polymorph listed for this composition = 0 meV per atom
Space group = P4/mmm, No. 123

Lattice parameters (Å, degrees): 4.2089 4.2089 5.6382 90.00 90.00 90.00
Last column: nearest neighbours and their distance in Å.
Sites, in units of the cell vectors:
La  0.0000  0.0000  0.0000  4 Br 2.98
As  0.0000  0.5000  0.5000  2 H 2.10
As  0.5000  0.0000  0.5000  2 H 2.10
H  0.5000  0.5000  0.5000  4 As 2.10
Br  0.5000  0.5000  0.0000  2 H 2.82, 4 La 2.98

---

(6)
Entry from Alexandria: a geometry-optimized PuAl4 structure (GGA-PBE).

Computed properties:
Crystal system = cubic
Space group = Pm-3m, No. 221
Formation energy from the elements = 1.3698 eV per atom

Lattice parameters (Å, degrees): 5.5002 5.5002 5.5002 90.00 90.00 90.00
Last column: nearest neighbours and their distance in Å.
Sites, in units of the cell vectors:
Pu  0.0000  0.0000  0.0000  6 Al 2.75
Al  0.0000  0.0000  0.5000  2 Pu 2.75
Al  0.0000  0.5000  0.0000  2 Pu 2.75
Al  0.5000  0.0000  0.0000  2 Pu 2.75
Al  0.5000  0.5000  0.5000  12 Al 3.89

---

(7)
Entry from Alexandria: a geometry-optimized YHo5Te4 structure (GGA-PBE).

Computed properties:
ΔE_f (raw) = -8.9 eV per formula unit
Crystal system = monoclinic
Space group = C2/m, No. 12

Lattice parameters (Å, degrees): 9.3316 9.3316 8.5017 102.32 102.32 25.57
Last column: nearest neighbours and their distance in Å.
Sites, in units of the cell vectors:
Y  0.0000  0.0000  0.0000  6 Te 2.98-3.00
Ho  0.0000  0.0000  0.5000  4 Te 2.96
Ho  0.3106  0.3106  0.6405  3 Te 3.14-3.21
Ho  0.3370  0.3370  0.2174  4 Te 3.05-3.15
Ho  0.6630  0.6630  0.7826  4 Te 3.05-3.15
Ho  0.6894  0.6894  0.3595  3 Te 3.14-3.21
Te  0.1687  0.1687  0.0642  1 Y 3.00, 5 Ho 3.05-3.21
Te  0.4874  0.4874  0.7426  4 Ho 2.96-3.14, 2 Y 2.98
Te  0.5126  0.5126  0.2574  4 Ho 2.96-3.14, 2 Y 2.98
Te  0.8313  0.8313  0.9358  1 Y 3.00, 5 Ho 3.05-3.21

---

(8)
Entry from Alexandria: a geometry-optimized RbLiTmTe2 structure (GGA-PBE).

Computed properties:
ΔE_f (raw) = -4.8 eV per formula unit
Crystal system = monoclinic
Space group = P2/c, No. 13

Lattice parameters (Å, degrees): 8.4652 4.5958 8.9440 90.00 90.02 90.00
Last column: nearest neighbours and their distance in Å.
Sites, in units of the cell vectors:
Rb  0.0000  0.0010  0.2500  8 Te 3.90-3.91
Rb  0.0000  0.9990  0.7500  8 Te 3.90-3.91
Li  0.5000  0.0000  0.0000  4 Te 3.04-3.06, 4 Tm 3.21
Li  0.5000  0.0000  0.5000  4 Te 3.04-3.06, 4 Tm 3.21
Tm  0.5000  0.5000  0.2500  4 Te 3.00, 4 Li 3.21
Tm  0.5000  0.5000  0.7500  4 Te 3.00, 4 Li 3.21
Te  0.2629  0.4978  0.9999  2 Tm 3.00, 2 Li 3.04-3.06
Te  0.2629  0.5022  0.4999  2 Tm 3.00, 2 Li 3.04-3.06
Te  0.7371  0.4978  0.5001  2 Tm 3.00, 2 Li 3.04-3.06
Te  0.7371  0.5022  0.0001  2 Tm 3.00, 2 Li 3.04-3.06

---

(9)
Entry from Alexandria: a geometry-optimized BeMoPIr structure (GGA-PBE).

Computed properties:
Crystal system = tetragonal
Energy relative to the lowest polymorph listed for this composition = 0 meV per atom
Space group = P4mm, No. 99
Formation energy from the elements = -0.4759 eV per atom

Lattice parameters (Å, degrees): 2.9797 2.9797 5.6435 90.00 90.00 90.00
Last column: nearest neighbours and their distance in Å.
Sites, in units of the cell vectors:
Be  0.0000  0.0000  0.0000  4 Ir 2.39, 4 P 2.47, 1 Mo 2.59
Mo  0.0000  0.0000  0.5412  4 P 2.47, 1 Be 2.59
P  0.5000  0.5000  0.7704  1 Ir 2.43, 4 Mo 2.47, 4 Be 2.47
Ir  0.5000  0.5000  0.2009  4 Be 2.39, 1 P 2.43

---

(10)
Entry from Alexandria: a geometry-optimized Sm3ZrIn3Te8 structure (GGA-PBE).

Computed properties:
ΔE_f (raw) = -14.3 eV per formula unit
Crystal system = trigonal
Space group = R-3m, No. 166

Lattice parameters (Å, degrees): 9.5690 9.5690 9.5690 54.51 54.51 54.51
Last column: nearest neighbours and their distance in Å.
Sites, in units of the cell vectors:
Sm  0.0000  0.5000  0.5000  6 Te 3.13-3.15
Sm  0.5000  0.0000  0.5000  6 Te 3.13-3.15
Sm  0.5000  0.5000  0.0000  6 Te 3.13-3.15
Zr  0.0000  0.0000  0.0000  6 Te 2.97
In  0.0000  0.0000  0.5000  6 Te 3.36
In  0.0000  0.5000  0.0000  6 Te 3.36
In  0.5000  0.0000  0.0000  6 Te 3.36
Te  0.2298  0.2298  0.7581  1 Zr 2.97, 2 Sm 3.15
Te  0.2298  0.7581  0.2298  1 Zr 2.97, 2 Sm 3.15
Te  0.2419  0.7702  0.7702  1 Zr 2.97, 2 Sm 3.15
Te  0.2574  0.2574  0.2574  3 Sm 3.13, 3 In 3.36
Te  0.7426  0.7426  0.7426  3 Sm 3.13, 3 In 3.36
Te  0.7581  0.2298  0.2298  1 Zr 2.97, 2 Sm 3.15
Te  0.7702  0.2419  0.7702  1 Zr 2.97, 2 Sm 3.15
Te  0.7702  0.7702  0.2419  1 Zr 2.97, 2 Sm 3.15

---

(11)
Entry from Alexandria: a geometry-optimized Zn2IrCl structure (GGA-PBE).

Computed properties:
ΔE_f (raw) = 1.9 eV per formula unit
Crystal system = cubic
Energy relative to the lowest polymorph listed for this composition = 750 meV per atom
Space group = Fm-3m, No. 225

Lattice parameters (Å, degrees): 4.5170 4.5170 4.5170 60.00 60.00 60.00
Last column: nearest neighbours and their distance in Å.
Sites, in units of the cell vectors:
Zn  0.2500  0.2500  0.2500  4 Cl 2.77, 4 Ir 2.77
Zn  0.7500  0.7500  0.7500  4 Cl 2.77, 4 Ir 2.77
Ir  0.0000  0.0000  0.0000  8 Zn 2.77
Cl  0.5000  0.5000  0.5000  8 Zn 2.77

---

(12)
Entry from Alexandria: a geometry-optimized CdIrOs2 structure (GGA-PBE).

Computed properties:
Crystal system = orthorhombic
Space group = Cmm2, No. 35
Formation energy from the elements = 0.5631 eV per atom

Lattice parameters (Å, degrees): 2.7666 2.7666 9.5891 90.00 90.00 119.48
Last column: nearest neighbours and their distance in Å.
Sites, in units of the cell vectors:
Cd  0.0000  0.0000  0.0000  6 Cd 2.77-2.79, 2 Ir 2.86, 2 Os 2.93
Ir  0.5000  0.5000  0.7393  2 Os 2.68, 6 Ir 2.77-2.79, 2 Cd 2.86
Os  0.0000  0.0000  0.5006  8 Os 2.62-2.79, 2 Ir 2.68
Os  0.5000  0.5000  0.2689  8 Os 2.62-2.79, 2 Cd 2.93

---

The records above yield D(E_F) values of 4.1 4.2 2.8 3.5 2.3 13.2 8.4 1.2 1.7 0.9 0.6 5.0 states/eV/f.u., respectively.
The records above yield energy values of -1.841 -2.075 -10.861 -4.851 -4.361 -4.491 -5.085 -3.682 -7.683 -4.693 -2.829 -7.496 eV per atom, respectively.